{"formula": "CuRh2Au", "functional": "SCAN", "state": "PBEsol geometry", "lattice_angstrom": [[2.728, 0.000, 0.000], [0.000, 4.516, 0.000], [0.000, 0.000, 4.580]], "species": ["Au", "Cu", "Rh", "Rh"], "fractional_positions": [[0.500, 0.000, 0.500], [0.000, 0.500, 0.500], [0.000, 0.000, 0.000], [0.500, 0.500, 0.000]], "formation_enthalpy_0k_ev_per_atom": 0.19, "space_group": "No. 47", "relative_energy_mev_per_atom": 152, "dos_ef_per_ev_fu": 5.61}

{"formula": "HfCuSb3", "functional": "SCAN", "state": "PBEsol geometry", "lattice_angstrom": [[4.947, 0.000, 0.000], [0.000, 4.947, 0.000], [0.000, 0.000, 4.947]], "species": ["Sb", "Sb", "Sb", "Hf", "Cu"], "fractional_positions": [[0.000, 0.500, 0.000], [0.000, 0.000, 0.500], [0.500, 0.000, 0.000], [0.500, 0.500, 0.500], [0.000, 0.000, 0.000]], "space_group": "No. 221", "total_energy_ev_per_cell": -186.597, "dos_ef_per_ev_fu": 3.65}

{"formula": "LiCaHf3", "functional": "SCAN", "state": "PBEsol geometry", "lattice_angstrom": [[-2.386, -3.827, 1.813], [2.797, 0.139, 3.973], [-3.180, 2.993, 2.134]], "species": ["Ca", "Hf", "Hf", "Hf", "Li"], "fractional_positions": [[0.500, 0.500, 0.500], [0.000, 0.500, 0.000], [0.000, 0.000, 0.500], [0.500, 0.000, 0.000], [0.000, 0.000, 0.000]], "formation_enthalpy_0k_ev_per_atom": 0.92, "space_group": "No. 221", "dos_ef_per_ev_fu": 7.15}

{"formula": "ZnTe2Pt", "functional": "SCAN", "state": "PBEsol geometry", "lattice_angstrom": [[-2.852, 3.381, -2.058], [-0.643, 0.034, -4.836], [-4.311, -1.271, -1.897]], "species": ["Pt", "Te", "Te", "Zn"], "fractional_positions": [[0.500, 0.500, 0.500], [0.000, 0.000, 0.000], [0.750, 0.750, 0.750], [0.250, 0.250, 0.250]], "space_group": "No. 216", "total_energy_ev_per_cell": -156.536, "dos_ef_per_ev_fu": 2.69}

{"formula": "CaHg3", "functional": "SCAN", "state": "PBEsol geometry", "lattice_angstrom": [[-2.765, -2.205, -1.438], [1.989, -3.002, 0.779], [-2.899, -0.342, 6.084]], "species": ["Ca", "Hg", "Hg", "Hg"], "fractional_positions": [[0.000, 0.000, 0.000], [0.500, 0.500, 0.738], [0.000, 0.000, 0.500], [0.500, 0.500, 0.262]], "formation_enthalpy_0k_ev_per_atom": -0.43, "space_group": "No. 47", "dos_ef_per_ev_fu": 1.47}

{"formula": "Sr2Zn2Bi", "functional": "SCAN", "state": "PBEsol geometry", "lattice_angstrom": [[-0.698, 1.274, 3.532], [-0.952, -3.536, 1.087], [10.188, -0.627, 0.174]], "species": ["Sr", "Sr", "Zn", "Zn", "Bi"], "fractional_positions": [[0.389, 0.389, 0.778], [0.611, 0.611, 0.222], [0.250, 0.750, 0.500], [0.750, 0.250, 0.500], [0.000, 0.000, 0.000]], "formation_enthalpy_0k_ev_per_atom": -0.35, "space_group": "No. 139", "dos_ef_per_ev_fu": 1.82}

{"formula": "Na3GeTe3", "functional": "SCAN", "state": "PBEsol geometry", "lattice_angstrom": [[-6.874, -5.325, 1.643], [6.333, 0.814, 6.020], [-6.259, 9.707, 5.273]], "species": ["Na", "Na", "Na", "Na", "Na", "Na", "Na", "Na", "Na", "Na", "Na", "Na", "Ge", "Ge", "Ge", "Ge", "Te", "Te", "Te", "Te", "Te", "Te", "Te", "Te", "Te", "Te", "Te", "Te"], "fractional_positions": [[0.510, 0.515, 0.349], [0.990, 0.985, 0.849], [0.490, 0.485, 0.651], [0.010, 0.015, 0.151], [0.694, 0.470, 0.943], [0.806, 0.030, 0.443], [0.306, 0.530, 0.057], [0.194, 0.970, 0.557], [0.750, 0.285, 0.229], [0.750, 0.215, 0.729], [0.250, 0.715, 0.771], [0.250, 0.785, 0.271], [0.381, 0.033, 0.990], [0.119, 0.467, 0.490], [0.619, 0.967, 0.010], [0.881, 0.533, 0.510], [0.385, 0.140, 0.800], [0.115, 0.360, 0.300], [0.615, 0.860, 0.200], [0.885, 0.640, 0.700], [0.099, 0.743, 0.024], [0.401, 0.757, 0.524], [0.901, 0.257, 0.976], [0.599, 0.243, 0.476], [0.417, 0.260, 0.131], [0.083, 0.240, 0.631], [0.583, 0.740, 0.869], [0.917, 0.760, 0.369]], "space_group": "No. 14", "total_energy_ev_per_cell": -594.814, "dos_ef_per_ev_fu": 0.00}

{"formula": "ZrFe2Tc", "functional": "SCAN", "state": "PBEsol geometry", "lattice_angstrom": [[4.274, 0.000, 0.000], [2.137, 3.701, 0.000], [2.137, 1.234, 3.490]], "species": ["Fe", "Fe", "Tc", "Zr"], "fractional_positions": [[0.250, 0.250, 0.250], [0.750, 0.750, 0.750], [0.000, 0.000, 0.000], [0.500, 0.500, 0.500]], "formation_enthalpy_0k_ev_per_atom": 0.01, "space_group": "No. 225", "relative_energy_mev_per_atom": 31, "dos_ef_per_ev_fu": 4.85}

{"formula": "DyZr6P9O36", "functional": "SCAN", "state": "PBEsol geometry", "lattice_angstrom": [[8.889, 0.000, 0.000], [-4.444, 7.698, 0.000], [0.000, 0.000, 22.463]], "species": ["Dy", "Dy", "Zr", "Zr", "Zr", "Zr", "Zr", "Zr", "Zr", "Zr", "Zr", "Zr", "Zr", "Zr", "P", "P", "P", "P", "P", "P", "P", "P", "P", "P", "P", "P", "P", "P", "P", "P", "P", "P", "O", "O", "O", "O", "O", "O", "O", "O", "O", "O", "O", "O", "O", "O", "O", "O", "O", "O", "O", "O", "O", "O", "O", "O", "O", "O", "O", "O", "O", "O", "O", "O", "O", "O", "O", "O", "O", "O", "O", "O", "O", "O", "O", "O", "O", "O", "O", "O", "O", "O", "O", "O", "O", "O", "O", "O", "O", "O", "O", "O", "O", "O", "O", "O", "O", "O", "O", "O", "O", "O", "O", "O"], "fractional_positions": [[0.000, 0.000, 0.500], [0.000, 0.000, 0.000], [0.667, 0.333, 0.468], [0.333, 0.667, 0.532], [0.333, 0.667, 0.032], [0.667, 0.333, 0.968], [0.000, 0.000, 0.352], [0.000, 0.000, 0.648], [0.000, 0.000, 0.148], [0.000, 0.000, 0.852], [0.667, 0.333, 0.188], [0.333, 0.667, 0.812], [0.333, 0.667, 0.312], [0.667, 0.333, 0.688], [0.625, 0.945, 0.422], [0.375, 0.055, 0.578], [0.320, 0.375, 0.422], [0.680, 0.055, 0.078], [0.680, 0.625, 0.578], [0.320, 0.945, 0.922], [0.055, 0.680, 0.422], [0.945, 0.625, 0.078], [0.945, 0.320, 0.578], [0.055, 0.375, 0.922], [0.375, 0.320, 0.078], [0.625, 0.680, 0.922], [0.709, 0.709, 0.250], [0.291, 0.291, 0.750], [0.000, 0.291, 0.250], [0.000, 0.709, 0.750], [0.291, 0.000, 0.250], [0.709, 0.000, 0.750], [0.537, 0.843, 0.478], [0.463, 0.157, 0.522], [0.307, 0.463, 0.478], [0.693, 0.157, 0.022], [0.693, 0.537, 0.522], [0.307, 0.843, 0.978], [0.157, 0.693, 0.478], [0.843, 0.537, 0.022], [0.843, 0.307, 0.522], [0.157, 0.463, 0.978], [0.463, 0.307, 0.022], [0.537, 0.693, 0.978], [0.640, 0.124, 0.421], [0.360, 0.876, 0.579], [0.484, 0.360, 0.421], [0.516, 0.876, 0.079], [0.516, 0.640, 0.579], [0.484, 0.124, 0.921], [0.876, 0.516, 0.421], [0.124, 0.640, 0.079], [0.124, 0.484, 0.579], [0.876, 0.360, 0.921], [0.360, 0.484, 0.079], [0.640, 0.516, 0.921], [0.816, 0.973, 0.424], [0.184, 0.027, 0.576], [0.157, 0.184, 0.424], [0.843, 0.027, 0.076], [0.843, 0.816, 0.576], [0.157, 0.973, 0.924], [0.027, 0.843, 0.424], [0.973, 0.816, 0.076], [0.973, 0.157, 0.576], [0.027, 0.184, 0.924], [0.184, 0.157, 0.076], [0.816, 0.843, 0.924], [0.971, 0.174, 0.305], [0.029, 0.826, 0.695], [0.202, 0.029, 0.305], [0.798, 0.826, 0.195], [0.798, 0.971, 0.695], [0.202, 0.174, 0.805], [0.826, 0.798, 0.305], [0.174, 0.971, 0.195], [0.174, 0.202, 0.695], [0.826, 0.029, 0.805], [0.029, 0.202, 0.195], [0.971, 0.798, 0.805], [0.534, 0.844, 0.366], [0.466, 0.156, 0.634], [0.310, 0.466, 0.366], [0.690, 0.156, 0.134], [0.690, 0.534, 0.634], [0.310, 0.844, 0.866], [0.156, 0.690, 0.366], [0.844, 0.534, 0.134], [0.844, 0.310, 0.634], [0.156, 0.466, 0.866], [0.466, 0.310, 0.134], [0.534, 0.690, 0.866], [0.532, 0.692, 0.259], [0.468, 0.308, 0.741], [0.160, 0.468, 0.259], [0.840, 0.308, 0.241], [0.840, 0.532, 0.741], [0.160, 0.692, 0.759], [0.308, 0.840, 0.259], [0.692, 0.532, 0.241], [0.692, 0.160, 0.741], [0.308, 0.468, 0.759], [0.468, 0.160, 0.241], [0.532, 0.840, 0.759]], "space_group": "No. 165", "total_energy_ev_per_cell": -1419.263, "dos_ef_per_ev_fu": 0.00}

{"formula": "CrSb2Te", "functional": "SCAN", "state": "PBEsol geometry", "lattice_angstrom": [[3.287, 0.000, 0.000], [1.644, 4.687, 0.261], [1.644, 2.279, 6.083]], "species": ["Cr", "Sb", "Sb", "Te"], "fractional_positions": [[0.211, 0.445, 0.133], [0.932, 0.012, 0.123], [0.774, 0.677, 0.775], [0.583, 0.366, 0.468]], "space_group": "No. 8", "relative_energy_mev_per_atom": 0, "dos_ef_per_ev_fu": 2.54}

{"formula": "Zn2CoMo", "functional": "SCAN", "state": "PBEsol geometry", "lattice_angstrom": [[-0.541, 1.822, -1.959], [-2.577, -0.891, -0.118], [-1.825, 4.640, 4.819]], "species": ["Mo", "Co", "Zn", "Zn"], "fractional_positions": [[0.500, 0.500, 0.728], [0.000, 0.000, 0.495], [0.000, 0.000, 0.008], [0.500, 0.500, 0.270]], "formation_enthalpy_0k_ev_per_atom": 0.03, "space_group": "No. 99", "relative_energy_mev_per_atom": 0, "dos_ef_per_ev_fu": 1.82}

{"formula": "CaRe2Ir", "functional": "SCAN", "state": "PBEsol geometry", "lattice_angstrom": [[2.749, 0.000, 0.000], [-1.374, 4.641, 0.027], [0.000, -0.889, 5.303]], "species": ["Re", "Re", "Ca", "Ir"], "fractional_positions": [[0.008, 0.017, 0.980], [0.266, 0.533, 0.818], [0.493, 0.986, 0.481], [0.732, 0.465, 0.221]], "formation_enthalpy_0k_ev_per_atom": 0.37, "space_group": "No. 8", "relative_energy_mev_per_atom": 182, "dos_ef_per_ev_fu": 2.35}

{"formula": "CaCrBiO5", "functional": "SCAN", "state": "PBEsol geometry", "lattice_angstrom": [[-3.131, 4.049, -1.809], [-1.363, -5.371, -9.662], [-12.403, -7.056, 5.672]], "species": ["Ca", "Ca", "Ca", "Ca", "Ca", "Ca", "Ca", "Ca", "Cr", "Cr", "Cr", "Cr", "Cr", "Cr", "Cr", "Cr", "Bi", "Bi", "Bi", "Bi", "Bi", "Bi", "Bi", "Bi", "O", "O", "O", "O", "O", "O", "O", "O", "O", "O", "O", "O", "O", "O", "O", "O", "O", "O", "O", "O", "O", "O", "O", "O", "O", "O", "O", "O", "O", "O", "O", "O", "O", "O", "O", "O", "O", "O", "O", "O"], "fractional_positions": [[0.494, 0.642, 0.446], [0.994, 0.858, 0.446], [0.994, 0.358, 0.054], [0.006, 0.642, 0.946], [0.506, 0.858, 0.946], [0.006, 0.142, 0.554], [0.506, 0.358, 0.554], [0.494, 0.142, 0.054], [0.013, 0.595, 0.598], [0.487, 0.095, 0.402], [0.987, 0.405, 0.402], [0.513, 0.905, 0.598], [0.987, 0.905, 0.098], [0.013, 0.095, 0.902], [0.487, 0.595, 0.098], [0.513, 0.405, 0.902], [0.045, 0.152, 0.236], [0.955, 0.848, 0.764], [0.455, 0.652, 0.764], [0.955, 0.348, 0.736], [0.545, 0.848, 0.264], [0.545, 0.348, 0.236], [0.455, 0.152, 0.736], [0.045, 0.652, 0.264], [0.053, 0.668, 0.696], [0.705, 0.954, 0.068], [0.795, 0.454, 0.932], [0.759, 0.233, 0.154], [0.741, 0.733, 0.846], [0.053, 0.168, 0.804], [0.741, 0.233, 0.654], [0.447, 0.168, 0.304], [0.705, 0.454, 0.432], [0.947, 0.332, 0.304], [0.447, 0.668, 0.196], [0.373, 0.816, 0.526], [0.205, 0.046, 0.432], [0.241, 0.267, 0.654], [0.831, 0.974, 0.877], [0.205, 0.546, 0.068], [0.947, 0.832, 0.196], [0.259, 0.767, 0.346], [0.873, 0.184, 0.974], [0.795, 0.954, 0.568], [0.627, 0.184, 0.474], [0.169, 0.026, 0.123], [0.241, 0.767, 0.846], [0.331, 0.026, 0.623], [0.627, 0.684, 0.026], [0.873, 0.684, 0.526], [0.295, 0.546, 0.568], [0.295, 0.046, 0.932], [0.331, 0.526, 0.877], [0.127, 0.316, 0.474], [0.127, 0.816, 0.026], [0.373, 0.316, 0.974], [0.169, 0.526, 0.377], [0.259, 0.267, 0.154], [0.759, 0.733, 0.346], [0.831, 0.474, 0.623], [0.669, 0.474, 0.123], [0.553, 0.832, 0.696], [0.669, 0.974, 0.377], [0.553, 0.332, 0.804]], "space_group": "No. 61", "relative_energy_mev_per_atom": 0, "dos_ef_per_ev_fu": 0.63}

{"formula": "KIn2Rh", "functional": "SCAN", "state": "PBEsol geometry", "lattice_angstrom": [[3.137, 0.000, 0.000], [0.000, 5.361, 0.046], [0.000, -1.760, 5.065]], "species": ["In", "In", "K", "Rh"], "fractional_positions": [[0.000, 0.500, 0.000], [0.000, 0.000, 0.500], [0.500, 0.000, 0.000], [0.500, 0.500, 0.500]], "formation_enthalpy_0k_ev_per_atom": 0.37, "space_group": "No. 65", "dos_ef_per_ev_fu": 2.81}

{"formula": "Cd2FeSb", "functional": "SCAN", "state": "PBEsol geometry", "lattice_angstrom": [[-1.897, -1.821, -3.055], [0.545, -3.568, 1.789], [-4.127, 0.504, 2.262]], "species": ["Cd", "Cd", "Fe", "Sb"], "fractional_positions": [[0.000, 0.000, 0.000], [0.500, 0.500, 0.000], [0.500, 0.000, 0.500], [0.000, 0.500, 0.500]], "space_group": "No. 123", "total_energy_ev_per_cell": -114.875, "dos_ef_per_ev_fu": 2.17}

{"formula": "BaSrI4", "functional": "SCAN", "state": "PBEsol geometry", "lattice_angstrom": [[-5.694, 4.633, -3.323], [-5.452, -3.050, 5.089], [7.237, 5.037, 4.392]], "species": ["I", "I", "I", "I", "I", "I", "I", "I", "Sr", "Sr", "Ba", "Ba"], "fractional_positions": [[0.867, 0.375, 0.250], [0.125, 0.133, 0.750], [0.625, 0.616, 0.750], [0.866, 0.875, 0.250], [0.384, 0.875, 0.250], [0.625, 0.134, 0.750], [0.125, 0.617, 0.750], [0.383, 0.375, 0.250], [0.500, 0.500, 0.000], [0.750, 0.250, 0.500], [0.250, 0.750, 0.500], [0.000, 0.000, 0.000]], "space_group": "No. 141", "total_energy_ev_per_cell": -440.285, "dos_ef_per_ev_fu": 0.00}

{"formula": "AlAgTe2Pt", "functional": "SCAN", "state": "PBEsol geometry", "lattice_angstrom": [[4.626, 0.000, 0.000], [0.000, 5.154, 0.000], [0.000, 0.000, 5.154]], "species": ["Te", "Te", "Ag", "Pt", "Al"], "fractional_positions": [[0.000, 0.000, 0.500], [0.000, 0.500, 0.000], [0.500, 0.000, 0.000], [0.500, 0.500, 0.500], [0.000, 0.000, 0.000]], "space_group": "No. 123", "total_energy_ev_per_cell": -179.340, "dos_ef_per_ev_fu": 3.27}

{"formula": "MgCd2Cu", "functional": "SCAN", "state": "PBEsol geometry", "lattice_angstrom": [[4.270, 0.000, 0.000], [0.000, 4.270, 0.000], [-2.135, -2.135, 3.838]], "species": ["Mg", "Cu", "Cd", "Cd"], "fractional_positions": [[0.500, 0.500, 0.000], [0.000, 0.000, 0.000], [0.750, 0.250, 0.500], [0.250, 0.750, 0.500]], "formation_enthalpy_0k_ev_per_atom": -0.02, "space_group": "No. 139", "dos_ef_per_ev_fu": 0.95}